ReHgO2F: optimized geometry, GGA-PBE.

a b c (Å): 3.864 3.864 4.579
angles (deg): 90.00 90.00 90.00
Fractional coordinates of all 5 atoms:
O 0.000 0.500 0.000
O 0.500 0.000 0.000
Re 0.000 0.000 0.000
F 0.000 0.000 0.500
Hg 0.500 0.500 0.500

Calculated values
Final energy   -29.16 eV/f.u.
Formation energy from raw total energies   -89 kJ/mol of atoms
Density of states at the Fermi level   0.655 states/eV/atom
Total moment   0.00 Bohr magnetons per cell